Below is As2WAu at its PBEsol-relaxed geometry, with properties calculated at the SCAN level.

## Properties
As for the energy of formation: 512 meV per atom. The value obtained for the excess energy over the best structure of this formula in the dataset is 175 meV per atom. The calculation puts the magnetization at 0.00 μB per formula unit. Its energy is -44.29 eV per atom. As for the space-group type: No. 123.

Geometry as POSCAR:
```
As2WAu
1.0
3.3177 0.0000 0.0000
0.0000 4.4022 0.0000
0.0000 0.0000 4.4022
As Au W
2 1 1
Direct
0.0000 0.5000 0.0000
0.0000 0.0000 0.5000
0.5000 0.5000 0.5000
0.5000 0.0000 0.0000
```

Below is BaH4Br2O2 at its PBEsol-relaxed geometry, with properties calculated at the SCAN level.

## Properties
The calculation puts the magnetization at 0.00 μB per formula unit. Its energy is -13.19 eV per atom. As for the space-group type: No. 15.

Geometry as POSCAR:
```
BaH4Br2O2
1.0
-2.4585 5.1462 2.6204
-4.4944 2.5824 -3.5392
-7.3919 -1.8493 3.2129
Br H O Ba
4 8 4 2
Direct
0.3020 0.2621 0.3542
0.2621 0.3020 0.8542
0.7379 0.6980 0.1458
0.6980 0.7379 0.6458
0.7566 0.3972 0.8650
0.4087 0.7652 0.0536
0.2434 0.6028 0.1350
0.6028 0.2434 0.6350
0.2348 0.5913 0.4464
0.5913 0.2348 0.9464
0.7652 0.4087 0.5536
0.3972 0.7566 0.3650
0.7516 0.2376 0.9404
0.7624 0.2484 0.5596
0.2484 0.7624 0.0596
0.2376 0.7516 0.4404
0.1023 0.8977 0.7500
0.8977 0.1023 0.2500
```

Below is BaMoW2 at its PBEsol-relaxed geometry, with properties calculated at the SCAN level.

## Properties
As for the energy of formation: 993 meV per atom. The value obtained for the excess energy over the best structure of this formula in the dataset is 64 meV per atom. The calculation puts the magnetization at 0.00 μB per formula unit. Its energy is -52.46 eV per atom. As for the space-group type: No. 123.

Geometry as POSCAR:
```
BaMoW2
1.0
-2.4612 1.9082 -0.4982
-1.9694 -2.4189 0.4644
-0.2674 1.7797 8.1370
W Ba Mo
2 1 1
Direct
0.0000 0.0000 0.3258
0.0000 0.0000 0.6742
0.5000 0.5000 0.0000
0.5000 0.5000 0.5000
```

Below is BPtC3 at its PBEsol-relaxed geometry, with properties calculated at the SCAN level.

## Properties
As for the energy of formation: 3309 meV per atom. The calculation puts the magnetization at 0.00 μB per formula unit. Its energy is -18.28 eV per atom. As for the space-group type: No. 221.

Geometry as POSCAR:
```
BPtC3
1.0
-0.7816 3.8415 0.3594
-3.7283 -0.8464 0.9384
0.9930 -0.1541 3.8062
C B Pt
3 1 1
Direct
0.0000 0.0000 0.5000
0.5000 0.0000 0.0000
0.0000 0.5000 0.0000
0.5000 0.5000 0.5000
0.0000 0.0000 0.0000
```

Below is NaMgTe3 at its PBEsol-relaxed geometry, with properties calculated at the SCAN level.

## Properties
The calculation puts the magnetization at 0.00 μB per formula unit. Its energy is -24.38 eV per atom. As for the space-group type: No. 221.

Geometry as POSCAR:
```
NaMgTe3
1.0
-3.9857 -2.9363 -2.3706
-0.4363 -3.0663 4.5315
-3.7485 3.4790 1.9932
Mg Te Na
1 3 1
Direct
0.0000 0.0000 0.0000
0.5000 0.0000 0.0000
0.0000 0.0000 0.5000
0.0000 0.5000 0.0000
0.5000 0.5000 0.5000
```

Below is Ir7Rh at its PBEsol-relaxed geometry, with properties calculated at the SCAN level.

## Properties
As for the energy of formation: -11 meV per atom. The calculation puts the magnetization at 0.00 μB per formula unit. Its energy is -66.44 eV per atom. As for the space-group type: No. 225.

Geometry as POSCAR:
```
Ir7Rh
1.0
-0.6411 -4.0738 -3.4953
4.1498 -1.6060 -3.0699
2.3717 -4.7662 0.9396
Ir Rh
7 1
Direct
0.0000 0.0000 0.5000
0.5000 0.5000 0.5000
0.0000 0.5000 0.0000
0.5000 0.0000 0.5000
0.5000 0.5000 0.0000
0.0000 0.5000 0.5000
0.5000 0.0000 0.0000
0.0000 0.0000 0.0000
```

Below is TaTc2HgP at its PBEsol-relaxed geometry, with properties calculated at the SCAN level.

## Properties
As for the energy of formation: 2566 meV per atom. The calculation puts the magnetization at 5.12 μB per formula unit. Its energy is -40.49 eV per atom. As for the space-group type: No. 123.

Geometry as POSCAR:
```
TaTc2HgP
1.0
4.8510 0.0000 0.0000
0.0000 4.8510 0.0000
0.0000 0.0000 4.9641
P Tc Ta Hg
1 2 1 1
Direct
0.5000 0.5000 0.5000
0.0000 0.5000 0.0000
0.5000 0.0000 0.0000
0.0000 0.0000 0.5000
0.0000 0.0000 0.0000
```

Below is MgAl3Re at its PBEsol-relaxed geometry, with properties calculated at the SCAN level.

## Properties
As for the energy of formation: 250 meV per atom. The calculation puts the magnetization at 0.00 μB per formula unit. Its energy is -19.62 eV per atom. As for the space-group type: No. 221.

Geometry as POSCAR:
```
MgAl3Re
1.0
-0.1685 -0.6577 -4.7133
-0.9707 -4.6124 0.6783
-4.6590 0.9848 0.0292
Al Mg Re
3 1 1
Direct
0.0000 0.5000 0.0000
0.5000 0.0000 0.0000
0.0000 0.0000 0.5000
0.5000 0.5000 0.5000
0.0000 0.0000 0.0000
```

Below is Mo3W at its PBEsol-relaxed geometry, with properties calculated at the SCAN level.

## Properties
As for the energy of formation: -5 meV per atom. The value obtained for the excess energy over the best structure of this formula in the dataset is 1 meV per atom. The calculation puts the magnetization at 0.00 μB per formula unit. Its energy is -43.59 eV per atom. As for the space-group type: No. 71.

Geometry as POSCAR:
```
Mo3W
1.0
3.1315 0.0000 0.0021
0.0000 4.4265 0.0000
-1.5628 -2.2132 4.4363
W Mo
1 3
Direct
0.0000 0.5000 0.0000
0.2500 0.2500 0.5000
0.5000 0.0000 0.0000
0.7500 0.7499 0.5000
```

Below is SbTe2HPb at its PBEsol-relaxed geometry, with properties calculated at the SCAN level.

## Properties
The calculation puts the magnetization at 0.00 μB per formula unit. Its energy is -37.90 eV per atom. As for the space-group type: No. 123.

Geometry as POSCAR:
```
SbTe2HPb
1.0
-1.9109 -0.1556 3.2188
-1.7333 -5.2054 -1.2807
4.5254 -2.1424 2.5830
Te H Pb Sb
2 1 1 1
Direct
0.0000 0.5000 0.0000
0.0000 0.0000 0.5000
0.0000 0.0000 0.0000
0.5000 0.5000 0.5000
0.5000 0.0000 0.0000
```

Below is CoAgBr2 at its PBEsol-relaxed geometry, with properties calculated at the SCAN level.

## Properties
The value obtained for the excess energy over the best structure of this formula in the dataset is 93 meV per atom. The calculation puts the magnetization at 2.00 μB per formula unit. Its energy is -21.98 eV per atom. As for the space-group type: No. 38.

Geometry as POSCAR:
```
CoAgBr2
1.0
-1.2410 -0.2458 3.2428
3.4431 -0.6752 1.2665
-0.7384 6.9849 0.2469
Br Ag Co
2 1 1
Direct
0.0000 0.8912 0.9070
0.5000 0.6017 0.3292
0.5000 0.2882 0.7013
0.0000 0.7189 0.5625
```

Below is Cs2CdAu2 at its PBEsol-relaxed geometry, with properties calculated at the SCAN level.

## Properties
As for the energy of formation: -254 meV per atom. The value obtained for the excess energy over the best structure of this formula in the dataset is 25 meV per atom. The calculation puts the magnetization at 0.00 μB per formula unit. Its energy is -49.12 eV per atom. As for the space-group type: No. 127.

Geometry as POSCAR:
```
Cs2CdAu2
1.0
-4.0771 0.7326 -3.5300
-5.0439 -1.5276 5.5087
-0.2492 7.3982 1.8233
Au Cs Cd
4 4 2
Direct
0.0000 0.8696 0.6304
0.0000 0.3696 0.8696
0.0000 0.1304 0.3696
0.0000 0.6304 0.1304
0.5000 0.3262 0.1738
0.5000 0.8262 0.3262
0.5000 0.1738 0.6738
0.5000 0.6738 0.8262
0.0000 0.5000 0.5000
0.0000 0.0000 0.0000
```